Here is a relaxed PmN crystal from Alexandria via LeMat-Bulk. Energies are from PBEsol.

Output
The value obtained for the calculated volume is 16.1 Å³ per atom. The value obtained for the energy relative to the elements, uncorrected is -1.58 eV per atom. The final energy is -8.4148 eV per atom. Its symmetry is Fm-3m, No. 225.

```
PmN
1.0
3.572 0.000 0.000
1.786 3.094 0.000
1.786 1.031 2.917
Pm N
1 1
Cartesian
0.000 0.000 0.000
3.572 2.063 1.458
```